[1]
# Ho6Ag5Os

Crystalline Ho6Ag5Os at its relaxed geometry (PBE-GGA, the Alexandria database).

The space group is Cmmm (No. 65) and the conventional cell measures 5.0518, 15.1852 and 7.1788 Å, with angles of 90.00, 90.00 and 90.00 degrees. The asymmetric unit holds Ho at (0.0000, 0.0000, 0.2322), Ho at (0.0000, 0.3422, 0.2415), Ag at (0.0000, 0.1668, 0.5000), Ag at (0.0000, 0.1744, 0.0000), Ag at (0.0000, 0.5000, 0.5000) and Os at (0.0000, 0.5000, 0.0000).

As for the total magnetization: 0.0 Bohr magnetons per cell. The value obtained for the energy of formation from the pure elements is -330 meV/atom. The final energy is -4.7432 eV per atom.


[2]
# Ho2AgOs

Crystalline Ho2AgOs at its relaxed geometry (PBE-GGA, the Alexandria database).

The space group is P4/mmm (No. 123) and the conventional cell measures 3.3925, 3.3925 and 7.5720 Å, with angles of 90.00, 90.00 and 90.00 degrees. The asymmetric unit holds Ho at (0.0000, 0.0000, 0.2201), Ag at (0.5000, 0.5000, 0.5000) and Os at (0.5000, 0.5000, 0.0000).

As for the total magnetization: 0.0 Bohr magnetons per cell. The value obtained for the energy of formation from the pure elements is -339 meV/atom. The final energy is -6.1481 eV per atom.


[3]
# PrHoAgOs

Crystalline PrHoAgOs at its relaxed geometry (PBE-GGA, the Alexandria database).

The space group is F-43m (No. 216) and the conventional cell measures 7.1296, 7.1296 and 7.1296 Å, with angles of 90.00, 90.00 and 90.00 degrees. The asymmetric unit holds Pr at (0.0000, 0.0000, 0.0000), Ho at (0.0000, 0.0000, 0.5000), Ag at (0.2500, 0.2500, 0.2500) and Os at (0.2500, 0.2500, 0.7500).

As for the total magnetization: 0.0 Bohr magnetons per cell. The value obtained for the energy of formation from the pure elements is -154 meV/atom. The final energy is -6.0137 eV per atom.


[4]
# HoPuAgOs

Crystalline HoPuAgOs at its relaxed geometry (PBE-GGA, the Alexandria database).

The space group is F-43m (No. 216) and the conventional cell measures 6.9915, 6.9915 and 6.9915 Å, with angles of 90.00, 90.00 and 90.00 degrees. The asymmetric unit holds Ho at (0.0000, 0.0000, 0.0000), Pu at (0.0000, 0.0000, 0.5000), Ag at (0.2500, 0.2500, 0.7500) and Os at (0.2500, 0.2500, 0.2500).

As for the total magnetization: 22.1 Bohr magnetons per cell. The value obtained for the energy of formation from the pure elements is -58 meV/atom. The final energy is -8.3058 eV per atom.


[5]
# HoScAgOs

Crystalline HoScAgOs at its relaxed geometry (PBE-GGA, the Alexandria database).

The space group is P4mm (No. 99) and the conventional cell measures 3.3071, 3.3071 and 7.3770 Å, with angles of 90.00, 90.00 and 90.00 degrees. The asymmetric unit holds Ho at (0.0000, 0.0000, 0.0000), Sc at (0.0000, 0.0000, 0.5622), Ag at (0.5000, 0.5000, 0.3018) and Os at (0.5000, 0.5000, 0.7644).

As for the total magnetization: 0.0 Bohr magnetons per cell. The value obtained for the energy of formation from the pure elements is -383 meV/atom. The final energy is -6.6305 eV per atom.


[6]
# HoScAgOs

Crystalline HoScAgOs at its relaxed geometry (PBE-GGA, the Alexandria database).

The space group is F-43m (No. 216) and the conventional cell measures 6.7953, 6.7953 and 6.7953 Å, with angles of 90.00, 90.00 and 90.00 degrees. The asymmetric unit holds Ho at (0.0000, 0.0000, 0.0000), Sc at (0.0000, 0.0000, 0.5000), Ag at (0.2500, 0.2500, 0.7500) and Os at (0.2500, 0.2500, 0.2500).

As for the total magnetization: 0.0 Bohr magnetons per cell. The value obtained for the energy of formation from the pure elements is -308 meV/atom. The final energy is -6.5560 eV per atom.


[7]
# SmHoAgOs

Crystalline SmHoAgOs at its relaxed geometry (PBE-GGA, the Alexandria database).

The space group is F-43m (No. 216) and the conventional cell measures 7.0575, 7.0575 and 7.0575 Å, with angles of 90.00, 90.00 and 90.00 degrees. The asymmetric unit holds Sm at (0.0000, 0.0000, 0.0000), Ho at (0.0000, 0.0000, 0.5000), Ag at (0.2500, 0.2500, 0.2500) and Os at (0.2500, 0.2500, 0.7500).

As for the total magnetization: 0.0 Bohr magnetons per cell. The value obtained for the energy of formation from the pure elements is -219 meV/atom. The final energy is -6.0634 eV per atom.


[8]
# TbHoAgOs

Crystalline TbHoAgOs at its relaxed geometry (PBE-GGA, the Alexandria database).

The space group is P4mm (No. 99) and the conventional cell measures 3.4068, 3.4068 and 7.6027 Å, with angles of 90.00, 90.00 and 90.00 degrees. The asymmetric unit holds Tb at (0.0000, 0.0000, 0.0000), Ho at (0.0000, 0.0000, 0.5590), Ag at (0.5000, 0.5000, 0.2842) and Os at (0.5000, 0.5000, 0.7771).

As for the total magnetization: 0.0 Bohr magnetons per cell. The value obtained for the energy of formation from the pure elements is -317 meV/atom. The final energy is -6.1394 eV per atom.


[9]
# TbHoAgOs

Crystalline TbHoAgOs at its relaxed geometry (PBE-GGA, the Alexandria database).

The space group is F-43m (No. 216) and the conventional cell measures 6.9982, 6.9982 and 6.9982 Å, with angles of 90.00, 90.00 and 90.00 degrees. The asymmetric unit holds Tb at (0.0000, 0.0000, 0.0000), Ho at (0.0000, 0.0000, 0.5000), Ag at (0.2500, 0.2500, 0.7500) and Os at (0.2500, 0.2500, 0.2500).

As for the total magnetization: 0.0 Bohr magnetons per cell. The value obtained for the energy of formation from the pure elements is -273 meV/atom. The final energy is -6.0952 eV per atom.


[10]
# HoThAgOs

Crystalline HoThAgOs at its relaxed geometry (PBE-GGA, the Alexandria database).

The space group is F-43m (No. 216) and the conventional cell measures 7.1524, 7.1524 and 7.1524 Å, with angles of 90.00, 90.00 and 90.00 degrees. The asymmetric unit holds Ho at (0.0000, 0.0000, 0.0000), Th at (0.0000, 0.0000, 0.5000), Ag at (0.2500, 0.2500, 0.2500) and Os at (0.2500, 0.2500, 0.7500).

As for the total magnetization: 0.0 Bohr magnetons per cell. The value obtained for the energy of formation from the pure elements is -202 meV/atom. The final energy is -6.7217 eV per atom.


[11]
# HoTmAgOs

Crystalline HoTmAgOs at its relaxed geometry (PBE-GGA, the Alexandria database).

The space group is F-43m (No. 216) and the conventional cell measures 6.9362, 6.9362 and 6.9362 Å, with angles of 90.00, 90.00 and 90.00 degrees. The asymmetric unit holds Ho at (0.0000, 0.0000, 0.0000), Tm at (0.0000, 0.0000, 0.5000), Ag at (0.2500, 0.2500, 0.7500) and Os at (0.2500, 0.2500, 0.2500).

As for the total magnetization: 0.0 Bohr magnetons per cell. The value obtained for the energy of formation from the pure elements is -316 meV/atom. The final energy is -6.0985 eV per atom.


[12]
# HoTmAgOs

Crystalline HoTmAgOs at its relaxed geometry (PBE-GGA, the Alexandria database).

The space group is P4mm (No. 99) and the conventional cell measures 3.3803, 3.3803 and 7.5305 Å, with angles of 90.00, 90.00 and 90.00 degrees. The asymmetric unit holds Ho at (0.0000, 0.0000, 0.0000), Tm at (0.0000, 0.0000, 0.5601), Ag at (0.5000, 0.5000, 0.2849) and Os at (0.5000, 0.5000, 0.7775).

As for the total magnetization: 0.0 Bohr magnetons per cell. The value obtained for the energy of formation from the pure elements is -360 meV/atom. The final energy is -6.1426 eV per atom.